1.
Compound: PmSm2Au
Source: the Alexandria database
Functional: PBE
Structure: optimized geometry

Values from the calculation:
SG: Cmcm (63)
Volume in Å³/f.u.: 120.70
Calculated formation energy in meV/atom: -377
Energy above the most stable polymorph in this dataset in eV per atom: 0.027

```
8
Lattice="5.006 0.001 0.000 -2.502 6.073 0.000 0.000 0.000 7.940" Properties=species:S:1:pos:R:3 pbc="T T T"
Pm 2.503 5.495 1.985
Pm 0.001 0.579 5.955
Sm 0.000 4.347 4.234
Sm 2.503 1.727 3.706
Sm 0.000 4.347 7.676
Sm 2.503 1.727 0.264
Au 2.503 3.610 5.955
Au 0.000 2.465 1.985
```

---

2.
Compound: Pm2SmAu2
Source: the Alexandria database
Functional: PBE
Structure: optimized geometry

Values from the calculation:
SG: P4/mbm (127)
Volume in Å³/f.u.: 136.20
Calculated formation energy in meV/atom: -651

```
10
Lattice="3.896 0.000 0.000 0.000 8.361 0.000 0.000 0.000 8.361" Properties=species:S:1:pos:R:3 pbc="T T T"
Pm 1.948 1.378 5.559
Pm 1.948 5.559 6.983
Pm 1.948 6.983 2.803
Pm 1.948 2.803 1.378
Sm 0.000 0.000 0.000
Sm 0.000 4.181 4.181
Au 0.000 3.099 7.280
Au 0.000 7.280 5.262
Au 0.000 5.262 1.081
Au 0.000 1.081 3.099
```

---

3.
Compound: PmSm2Au2
Source: the Alexandria database
Functional: PBE
Structure: optimized geometry

Values from the calculation:
SG: P4/mbm (127)
Volume in Å³/f.u.: 135.34
Calculated formation energy in meV/atom: -655

```
10
Lattice="3.880 0.000 0.000 0.000 8.353 0.000 0.000 0.000 8.353" Properties=species:S:1:pos:R:3 pbc="T T T"
Pm 0.000 0.000 0.000
Pm 0.000 4.176 4.176
Sm 1.940 1.371 5.548
Sm 1.940 5.548 6.981
Sm 1.940 6.981 2.805
Sm 1.940 2.805 1.371
Au 0.000 3.096 7.272
Au 0.000 7.272 5.257
Au 0.000 5.257 1.080
Au 0.000 1.080 3.096
```

---

4.
Compound: Pm2SmAu
Source: the Alexandria database
Functional: PBE
Structure: optimized geometry

Values from the calculation:
SG: P4/mmm (123)
Volume in Å³/f.u.: 119.25
Calculated formation energy in meV/atom: -361
Energy above the most stable polymorph in this dataset in eV per atom: 0.040

```
4
Lattice="-0.107 2.591 2.661 -3.001 1.509 -1.590 -5.088 -5.101 4.763" Properties=species:S:1:pos:R:3 pbc="T T T"
Au -1.554 2.050 0.536
Sm -4.098 -0.500 2.917
Pm -4.031 -4.041 3.773
Pm -1.058 -1.060 0.990
```

---

5.
Compound: PmSmAu3
Source: the Alexandria database
Functional: PBE
Structure: optimized geometry

Values from the calculation:
SG: R-3m (166)
Volume in Å³/f.u.: 130.62
Calculated formation energy in meV/atom: -640
Energy above the most stable polymorph in this dataset in eV per atom: 0.119

```
10
Lattice="-5.138 6.047 1.325 -8.036 0.368 -0.006 -5.356 1.363 5.845" Properties=species:S:1:pos:R:3 pbc="T T T"
Pm -7.177 3.013 2.775
Pm -11.353 4.765 4.389
Sm -3.280 1.377 1.268
Sm -15.250 6.401 5.896
Au -4.664 1.475 3.864
Au -4.546 4.032 1.396
Au -6.128 0.931 0.669
Au -13.866 6.303 3.299
Au -12.403 6.847 6.494
Au -13.985 3.746 5.768
```

---

6.
Compound: Pm4SmAu5
Source: the Alexandria database
Functional: PBE
Structure: optimized geometry

Values from the calculation:
SG: P4/mmm (123)
Volume in Å³/f.u.: 251.02
Calculated formation energy in meV/atom: -789

```
10
Lattice="3.667 0.000 0.000 0.000 3.667 0.000 0.000 0.000 18.671" Properties=species:S:1:pos:R:3 pbc="T T T"
Pm 0.000 0.000 3.724
Pm 0.000 0.000 7.465
Pm 0.000 0.000 11.206
Pm 0.000 0.000 14.947
Sm 0.000 0.000 0.000
Au 1.833 1.833 1.840
Au 1.833 1.833 5.595
Au 1.833 1.833 9.335
Au 1.833 1.833 13.075
Au 1.833 1.833 16.831
```